(1)
First-principles (GGA-PBE) data for crystalline Ba2BiIrS at its relaxed geometry, as listed in the Alexandria database.

Output
Symmetry: P4/mmm (123)
Theoretical density, g/cm³: 6.63
E_form (uncorrected), meV/atom: -670
Magnetization, μB/cell: 0.0

abc: 6.406 6.406 4.321
angles: 90.00 90.00 90.00
Element x y z (fractional)
Ba (0.000, 0.500, 0.000)
Ba (0.500, 0.000, 0.000)
Bi (0.000, 0.000, 0.500)
Ir (0.500, 0.500, 0.000)
S (0.500, 0.500, 0.500)

=====

(2)
First-principles (GGA-PBE) data for crystalline BaBiIrSe2 at its relaxed geometry, as listed in the Alexandria database.

Output
Symmetry: P4/mmm (123)
Theoretical density, g/cm³: 7.11
E_form (uncorrected), meV/atom: -52
Magnetization, μB/cell: 1.5

abc: 5.663 5.663 5.074
angles: 90.00 90.00 90.00
Element x y z (fractional)
Ba (0.000, 0.000, 0.000)
Bi (0.500, 0.500, 0.500)
Ir (0.500, 0.500, 0.000)
Se (0.000, 0.500, 0.500)
Se (0.500, 0.000, 0.500)

=====

(3)
First-principles (GGA-PBE) data for crystalline Ba2BiTeIr at its relaxed geometry, as listed in the Alexandria database.

Output
Symmetry: P4/mmm (123)
Theoretical density, g/cm³: 6.77
E_form (uncorrected), meV/atom: -664
Magnetization, μB/cell: 0.0

abc: 6.248 6.248 5.047
angles: 90.00 90.00 90.00
Element x y z (fractional)
Ba (0.000, 0.500, 0.000)
Ba (0.500, 0.000, 0.000)
Bi (0.000, 0.000, 0.500)
Te (0.500, 0.500, 0.500)
Ir (0.000, 0.000, 0.000)

=====

(4)
First-principles (GGA-PBE) data for crystalline BaTiBi2Ir at its relaxed geometry, as listed in the Alexandria database.

Output
Symmetry: P4/mmm (123)
ΔE_f, kcal/mol of atoms: 19.82
Theoretical density, g/cm³: 7.93
Magnetization, μB/cell: 2.8

abc: 5.275 5.275 5.988
angles: 90.00 90.00 90.00
Element x y z (fractional)
Ba (0.000, 0.000, 0.000)
Ti (0.000, 0.000, 0.500)
Bi (0.000, 0.500, 0.500)
Bi (0.500, 0.000, 0.500)
Ir (0.500, 0.500, 0.000)